(1)
## Ac2TmP3Rh4 (PBE)

Data for an optimized crystal structure of Ac2TmP3Rh4.

Geometry as POSCAR:
```
Ac2TmP3Rh4
1.0
4.136 0.000 0.000
0.000 4.136 0.000
0.000 0.000 11.279
Ac Tm P Rh
2 1 3 4
Direct
0.500 0.000 0.232
0.000 0.500 0.768
0.500 0.500 0.500
0.000 0.000 0.500
0.500 0.000 0.879
0.000 0.500 0.121
0.500 0.500 0.000
0.000 0.000 0.000
0.500 0.000 0.663
0.000 0.500 0.337
```

Calculated values
size of the total moment: 0.00 μB/f.u.
DFT formation energy: -23.47 kcal/mol of atoms
density: 9.71 g/cm³
symmetry: P-4m2

(2)
## AcTmP2Rh2 (PBE)

Data for an optimized crystal structure of AcTmP2Rh2.

Geometry as POSCAR:
```
AcTmP2Rh2
1.0
4.108 0.000 0.000
-2.054 3.558 0.000
0.000 0.000 8.229
Ac Tm P Rh
1 1 2 2
Direct
0.000 0.000 0.000
0.000 0.000 0.500
0.667 0.333 0.721
0.333 0.667 0.279
0.667 0.333 0.267
0.333 0.667 0.733
```

Calculated values
size of the total moment: 0.00 μB/f.u.
DFT formation energy: -27.30 kcal/mol of atoms
density: 9.16 g/cm³
symmetry: P-3m1

(3)
## AcUP2Rh5 (PBE)

Data for an optimized crystal structure of AcUP2Rh5.

Geometry as POSCAR:
```
AcUP2Rh5
1.0
4.088 0.000 0.000
0.000 4.088 0.000
0.000 0.000 10.678
Ac U P Rh
1 1 2 5
Direct
0.500 0.500 0.500
0.000 0.000 0.000
0.000 0.000 0.714
0.000 0.000 0.286
0.000 0.000 0.500
0.000 0.500 0.821
0.500 0.000 0.179
0.000 0.500 0.179
0.500 0.000 0.821
```

Calculated values
size of the total moment: 1.22 μB/f.u.
DFT formation energy: -13.56 kcal/mol of atoms
density: 9.69 g/cm³
symmetry: P4/mmm